1.
Pu2NpGe3Pt4 | GGA-PBE | optimized geometry Values from VASP.

N(E_F)   3.165 states/eV per atom
Space group   No. 115
ΔE_f   -5.9 eV per formula unit

Geometry as Quantum ESPRESSO input:
```
&SYSTEM
  ibrav = 0, nat = 10, ntyp = 4
/
ATOMIC_SPECIES
Pu 244.00 Pu.upf
Np 237.00 Np.upf
Ge 72.64 Ge.upf
Pt 195.08 Pt.upf
CELL_PARAMETERS angstrom
4.230 0.000 0.000
0.000 4.230 0.000
0.000 0.000 11.392
ATOMIC_POSITIONS angstrom
Pu 0.000 2.115 2.668
Pu 2.115 0.000 8.724
Np 0.000 0.000 5.696
Ge 0.000 2.115 9.979
Ge 2.115 0.000 1.414
Ge 2.115 2.115 5.696
Pt 0.000 0.000 0.000
Pt 0.000 2.115 7.521
Pt 2.115 0.000 3.871
Pt 2.115 2.115 0.000
```

2.
Np2Ge4Pt3Rh | GGA-PBE | optimized geometry Values from VASP.

N(E_F)   2.177 states/eV per atom
Space group   No. 115
ΔE_f   -5.4 eV per formula unit

Geometry as Quantum ESPRESSO input:
```
&SYSTEM
  ibrav = 0, nat = 10, ntyp = 4
/
ATOMIC_SPECIES
Np 237.00 Np.upf
Ge 72.64 Ge.upf
Pt 195.08 Pt.upf
Rh 102.91 Rh.upf
CELL_PARAMETERS angstrom
4.167 0.000 0.000
0.000 4.167 0.000
0.000 0.000 10.735
ATOMIC_POSITIONS angstrom
Np 0.000 2.084 2.654
Np 2.084 0.000 8.082
Ge 0.000 0.000 5.368
Ge 0.000 2.084 9.303
Ge 2.084 0.000 1.432
Ge 2.084 2.084 5.368
Pt 0.000 0.000 0.000
Pt 0.000 2.084 6.849
Pt 2.084 0.000 3.886
Rh 2.084 2.084 0.000
```

3.
Np2Ge4PtRh3 | GGA-PBE | optimized geometry Values from VASP.

N(E_F)   2.187 states/eV per atom
Space group   No. 115
ΔE_f   -5.1 eV per formula unit

Geometry as Quantum ESPRESSO input:
```
&SYSTEM
  ibrav = 0, nat = 10, ntyp = 4
/
ATOMIC_SPECIES
Np 237.00 Np.upf
Ge 72.64 Ge.upf
Pt 195.08 Pt.upf
Rh 102.91 Rh.upf
CELL_PARAMETERS angstrom
4.188 0.000 0.000
0.000 4.188 0.000
0.000 0.000 10.337
ATOMIC_POSITIONS angstrom
Np 0.000 2.094 2.487
Np 2.094 0.000 7.850
Ge 0.000 0.000 0.000
Ge 0.000 2.094 6.589
Ge 2.094 0.000 3.748
Ge 2.094 2.094 0.000
Pt 0.000 0.000 5.169
Rh 0.000 2.094 8.999
Rh 2.094 0.000 1.338
Rh 2.094 2.094 5.169
```